Record 1
The following is a DFT calculation (PBE) of a relaxed structure of Rb2MnAgI6.

Cell lengths 8.213, 8.213, 8.212 Å; angles 59.99, 59.99, 90.00 degrees
Fractional coordinates of all 10 atoms:
I 0.258 0.258 0.485
I 0.742 0.742 0.515
I 0.258 0.258 0.000
I 0.742 0.742 0.000
I 0.742 0.258 0.000
I 0.258 0.742 0.000
Mn 0.500 0.500 0.000
Rb 0.750 0.250 0.500
Rb 0.250 0.750 0.500
Ag 0.000 0.000 0.000

Computed properties:
Formation energy from raw total energies (meV/atom): -755
Symmetry: No. 225

Record 2
The following is a DFT calculation (PBE) of a relaxed structure of La4HIr2Cl.

Cell lengths 4.178, 7.267, 7.510 Å; angles 108.95, 90.00, 90.00 degrees
Fractional coordinates of all 8 atoms:
La 0.500 0.267 0.282
La 0.500 0.733 0.718
La 0.000 0.244 0.722
La 0.000 0.756 0.278
H 0.500 0.500 0.000
Ir 0.500 0.000 0.500
Ir 0.000 0.500 0.500
Cl 0.000 0.000 0.000

Computed properties:
Symmetry: No. 10

Record 3
The following is a DFT calculation (PBE) of a relaxed structure of La3GaAg.

Cell lengths 9.619, 9.619, 13.542 Å; angles 43.95, 43.95, 50.98 degrees
Fractional coordinates of all 20 atoms:
La 0.844 0.807 0.731
La 0.193 0.156 0.769
La 0.156 0.193 0.269
La 0.807 0.844 0.231
La 0.592 0.782 0.627
La 0.218 0.408 0.873
La 0.408 0.218 0.373
La 0.782 0.592 0.127
La 0.347 0.701 0.090
La 0.299 0.653 0.410
La 0.701 0.347 0.590
La 0.653 0.299 0.910
Ga 0.804 0.349 0.020
Ga 0.651 0.196 0.480
Ga 0.196 0.651 0.980
Ga 0.349 0.804 0.520
Ag 0.000 0.500 0.500
Ag 0.500 0.000 0.000
Ag 0.946 0.054 0.250
Ag 0.054 0.946 0.750

Computed properties:
Formation energy from the elements (eV/atom): -0.25
Symmetry: No. 15

Record 4
The following is a DFT calculation (PBE) of a relaxed structure of Mo2OsRh.

Cell lengths 4.762, 4.762, 4.762 Å; angles 131.17, 131.16, 71.55 degrees
Fractional coordinates of all 4 atoms:
Rh 0.750 0.250 0.500
Mo 0.000 0.000 0.000
Mo 0.500 0.500 0.000
Os 0.250 0.750 0.500

Computed properties:
Formation energy from the elements (eV/atom): -0.07
Symmetry: No. 139

Record 5
The following is a DFT calculation (PBE) of a relaxed structure of Tm2Mg4Sc.

Cell lengths 5.244, 5.896, 7.137 Å; angles 114.40, 90.00, 90.00 degrees
Fractional coordinates of all 7 atoms:
Tm 0.500 0.132 0.263
Tm 0.500 0.868 0.737
Mg 0.500 0.614 0.227
Mg 0.000 0.731 0.463
Mg 0.500 0.386 0.773
Mg 0.000 0.269 0.537
Sc 0.000 0.500 0.000

Computed properties:
Formation energy from the elements (eV/atom): 0.44
Symmetry: No. 65

Record 6
The following is a DFT calculation (PBE) of a relaxed structure of CdReTe.

Cell lengths 8.607, 8.347, 3.049 Å; angles 84.50, 74.86, 20.64 degrees
Fractional coordinates of all 3 atoms:
Re 0.328 0.328 0.672
Te 0.696 0.696 0.304
Cd 0.976 0.976 0.024

Computed properties:
Formation energy from raw total energies (meV/atom): 765
Symmetry: No. 42

Total DFT energy (no corrections) list, top to bottom, in eV per atom: -3.08; -6.26; -4.38; -10.14; -2.65; -4.74